# YNiBr2 (PBE, optimized geometry)
data_YNiBr2
_chemical_formula_sum 'Y1 Ni1 Br2'
_cell_length_a 3.857
_cell_length_b 4.561
_cell_length_c 4.649
_cell_angle_alpha 90.00
_cell_angle_beta 90.00
_cell_angle_gamma 90.00
_symmetry_space_group_name_H-M 'P m m m'
_symmetry_Int_Tables_number 47
loop_
_symmetry_equiv_pos_as_xyz
'x,y,z'
'-x,-y,-z'
'-x,-y,z'
'x,y,-z'
'x,-y,-z'
'-x,y,z'
'-x,y,-z'
'x,-y,z'
loop_
_atom_site_label
_atom_site_type_symbol
_atom_site_fract_x
_atom_site_fract_y
_atom_site_fract_z
Y1 Y 0.000 0.000 0.000
Ni1 Ni 0.000 0.500 0.500
Br1 Br 0.500 0.000 0.500
Br2 Br 0.500 0.500 0.000
# ΔE_f (raw)   -0.427 eV/atom
# Magnetization   0.001 μB per atom
# Electronic total energy   -4.324 eV per atom
# Crystal system   orthorhombic

=====

# YNiBr2 (PBE, optimized geometry)
data_YNiBr2
_chemical_formula_sum 'Y4 Ni4 Br8'
_cell_length_a 6.112
_cell_length_b 6.112
_cell_length_c 11.357
_cell_angle_alpha 90.00
_cell_angle_beta 90.00
_cell_angle_gamma 90.00
_symmetry_space_group_name_H-M 'I -4 2 d'
_symmetry_Int_Tables_number 122
_symmetry_space_group_name_Hall 'I -4 2bw'
loop_
_atom_site_label
_atom_site_type_symbol
_atom_site_fract_x
_atom_site_fract_y
_atom_site_fract_z
Y1 Y 0.000 0.000 0.000
Ni1 Ni 0.000 0.000 0.500
Br1 Br 0.191 0.250 0.625
# ΔE_f (raw)   -0.356 eV/atom
# Magnetization   0.193 μB per atom
# Electronic total energy   -4.254 eV per atom
# Crystal system   tetragonal

=====

# YNiBr2 (PBE, optimized geometry)
data_YNiBr2
_chemical_formula_sum 'Y1 Ni1 Br2'
_cell_length_a 3.591
_cell_length_b 3.591
_cell_length_c 7.996
_cell_angle_alpha 90.00
_cell_angle_beta 90.00
_cell_angle_gamma 90.00
_symmetry_space_group_name_H-M 'P 4 m m'
_symmetry_Int_Tables_number 99
loop_
_symmetry_equiv_pos_as_xyz
'x,y,z'
'-y,x,z'
'-x,-y,z'
'y,-x,z'
'-x,y,z'
'y,x,z'
'x,-y,z'
'-y,-x,z'
loop_
_atom_site_label
_atom_site_type_symbol
_atom_site_fract_x
_atom_site_fract_y
_atom_site_fract_z
Y1 Y 0.000 0.000 0.000
Ni1 Ni 0.500 0.500 0.827
Br1 Br 0.000 0.000 0.659
Br2 Br 0.500 0.500 0.226
# ΔE_f (raw)   -0.680 eV/atom
# Magnetization   0.000 μB per atom
# Electronic total energy   -4.578 eV per atom
# Crystal system   tetragonal

=====

The calculation returns the following theoretical density values, one per record and in order: 6.2; 4.8; 5.0 Mg/m³.